# SCAN ZrSbNF2, PBEsol geometry
# **Formation energy (no corrections)**: -0.36 eV/atom
# **E**: -17.227 eV/atom
# **V**: 16.2 Å³ per atom
data_ZrSbNF2
_cell_length_a 4.3018
_cell_length_b 4.3018
_cell_length_c 4.3776
_cell_angle_alpha 90.00
_cell_angle_beta 90.00
_cell_angle_gamma 90.00
_symmetry_space_group_name_H-M 'P 1'
_symmetry_Int_Tables_number 1
_symmetry_space_group_name_Hall 'P 1'
loop_
_atom_site_label
_atom_site_fract_x
_atom_site_fract_y
_atom_site_fract_z
Zr1 0.0000 0.0000 0.0000
Sb1 0.5000 0.5000 0.5000
N1 0.5000 0.5000 0.0000
F1 0.0000 0.5000 0.5000
F2 0.5000 0.0000 0.5000

=====

# SCAN YMoCl2, PBEsol geometry
# **Distance to the lowest polymorph of the same formula**: 4.0 meV/atom
# **Formation energy (no corrections)**: -0.68 eV/atom
# **E**: -20.353 eV/atom
# **V**: 20.4 Å³ per atom
data_YMoCl2
_cell_length_a 3.1997
_cell_length_b 3.1997
_cell_length_c 7.9881
_cell_angle_alpha 90.00
_cell_angle_beta 90.00
_cell_angle_gamma 90.00
_symmetry_space_group_name_H-M 'P 1'
_symmetry_Int_Tables_number 1
_symmetry_space_group_name_Hall 'P 1'
loop_
_atom_site_label
_atom_site_fract_x
_atom_site_fract_y
_atom_site_fract_z
Y1 0.0000 0.0000 0.0000
Mo1 0.5000 0.5000 0.2767
Cl1 0.0000 0.0000 0.4034
Cl2 0.5000 0.5000 0.7871

=====

# SCAN Sr2YFeCu2O7, PBEsol geometry
# **Distance to the lowest polymorph of the same formula**: 16.9 meV/atom
# **Formation energy (no corrections)**: -2.27 eV/atom
# **E**: -14.932 eV/atom
# **V**: 12.3 Å³ per atom
data_Sr2YFeCu2O7
_cell_length_a 3.7378
_cell_length_b 3.7948
_cell_length_c 11.2512
_cell_angle_alpha 90.00
_cell_angle_beta 90.00
_cell_angle_gamma 90.00
_symmetry_space_group_name_H-M 'P 1'
_symmetry_Int_Tables_number 1
_symmetry_space_group_name_Hall 'P 1'
loop_
_atom_site_label
_atom_site_fract_x
_atom_site_fract_y
_atom_site_fract_z
Sr1 0.0000 0.0000 0.1886
Sr2 0.0000 0.0000 0.8114
Y1 0.0000 0.0000 0.5000
Fe1 0.5000 0.5000 0.0000
Cu1 0.5000 0.5000 0.3557
Cu2 0.5000 0.5000 0.6443
O1 0.0000 0.5000 0.3725
O2 0.0000 0.5000 0.6275
O3 0.5000 0.0000 0.0000
O4 0.5000 0.0000 0.3715
O5 0.5000 0.0000 0.6285
O6 0.5000 0.5000 0.1593
O7 0.5000 0.5000 0.8407

=====

# SCAN La3Cu, PBEsol geometry
# **E**: -36.004 eV/atom
# **V**: 27.1 Å³ per atom
# **ΔH_f (0 K)**: 125 meV/atom
data_La3Cu
_cell_length_a 5.5400
_cell_length_b 5.5400
_cell_length_c 3.5299
_cell_angle_alpha 90.00
_cell_angle_beta 90.00
_cell_angle_gamma 90.10
_symmetry_space_group_name_H-M 'P 1'
_symmetry_Int_Tables_number 1
_symmetry_space_group_name_Hall 'P 1'
loop_
_atom_site_label
_atom_site_fract_x
_atom_site_fract_y
_atom_site_fract_z
La1 0.0000 0.0000 0.0000
La2 0.0000 0.5000 0.5000
La3 0.5000 0.0000 0.5000
Cu1 0.5000 0.5000 0.0000

=====

# SCAN CuAsPb2, PBEsol geometry
# **E**: -46.234 eV/atom
# **V**: 22.6 Å³ per atom
# **ΔH_f (0 K)**: 504 meV/atom
data_CuAsPb2
_cell_length_a 5.0404
_cell_length_b 5.0404
_cell_length_c 5.0404
_cell_angle_alpha 60.00
_cell_angle_beta 60.00
_cell_angle_gamma 60.00
_symmetry_space_group_name_H-M 'P 1'
_symmetry_Int_Tables_number 1
_symmetry_space_group_name_Hall 'P 1'
loop_
_atom_site_label
_atom_site_fract_x
_atom_site_fract_y
_atom_site_fract_z
Cu1 0.0000 0.0000 0.0000
As1 0.2500 0.2500 0.2500
Pb1 0.5000 0.5000 0.5000
Pb2 0.7500 0.7500 0.7500

=====

# SCAN Al2AuBr, PBEsol geometry
# **Distance to the lowest polymorph of the same formula**: 99.4 meV/atom
# **Formation energy (no corrections)**: -0.12 eV/atom
# **E**: -26.148 eV/atom
# **V**: 18.9 Å³ per atom
data_Al2AuBr
_cell_length_a 3.2286
_cell_length_b 3.2286
_cell_length_c 7.2700
_cell_angle_alpha 90.00
_cell_angle_beta 90.00
_cell_angle_gamma 90.17
_symmetry_space_group_name_H-M 'P 1'
_symmetry_Int_Tables_number 1
_symmetry_space_group_name_Hall 'P 1'
loop_
_atom_site_label
_atom_site_fract_x
_atom_site_fract_y
_atom_site_fract_z
Al1 0.0000 0.0000 0.2137
Al2 0.0000 0.0000 0.7863
Au1 0.5000 0.5000 0.0000
Br1 0.5000 0.5000 0.5000

=====

# SCAN Mg2ScHg, PBEsol geometry
# **E**: -23.382 eV/atom
# **V**: 21.3 Å³ per atom
# **ΔH_f (0 K)**: -295 meV/atom
data_Mg2ScHg
_cell_length_a 3.5348
_cell_length_b 3.5348
_cell_length_c 6.8114
_cell_angle_alpha 90.00
_cell_angle_beta 90.00
_cell_angle_gamma 90.00
_symmetry_space_group_name_H-M 'P 1'
_symmetry_Int_Tables_number 1
_symmetry_space_group_name_Hall 'P 1'
loop_
_atom_site_label
_atom_site_fract_x
_atom_site_fract_y
_atom_site_fract_z
Mg1 0.0000 0.0000 0.0000
Mg2 0.5000 0.5000 0.2542
Sc1 0.0000 0.0000 0.5227
Hg1 0.5000 0.5000 0.7604

=====

# SCAN BiCl3F, PBEsol geometry
# **Formation energy (no corrections)**: 0.11 eV/atom
# **E**: -21.099 eV/atom
# **V**: 20.0 Å³ per atom
data_BiCl3F
_cell_length_a 4.6415
_cell_length_b 4.6415
_cell_length_c 4.6415
_cell_angle_alpha 90.00
_cell_angle_beta 90.00
_cell_angle_gamma 90.00
_symmetry_space_group_name_H-M 'P 1'
_symmetry_Int_Tables_number 1
_symmetry_space_group_name_Hall 'P 1'
loop_
_atom_site_label
_atom_site_fract_x
_atom_site_fract_y
_atom_site_fract_z
Bi1 0.0000 0.0000 0.0000
Cl1 0.0000 0.5000 0.5000
Cl2 0.5000 0.0000 0.5000
Cl3 0.5000 0.5000 0.0000
F1 0.5000 0.5000 0.5000

=====

# SCAN LiSc2Ni, PBEsol geometry
# **E**: -11.967 eV/atom
# **V**: 18.3 Å³ per atom
# **ΔH_f (0 K)**: -208 meV/atom
data_LiSc2Ni
_cell_length_a 3.1566
_cell_length_b 3.1566
_cell_length_c 7.3638
_cell_angle_alpha 90.00
_cell_angle_beta 90.00
_cell_angle_gamma 90.00
_symmetry_space_group_name_H-M 'P 1'
_symmetry_Int_Tables_number 1
_symmetry_space_group_name_Hall 'P 1'
loop_
_atom_site_label
_atom_site_fract_x
_atom_site_fract_y
_atom_site_fract_z
Li1 0.0000 0.0000 0.0000
Sc1 0.5000 0.5000 0.2975
Sc2 0.5000 0.5000 0.7025
Ni1 0.0000 0.0000 0.5000

=====

# SCAN Hf2AgAuF, PBEsol geometry
# **Formation energy (no corrections)**: -0.42 eV/atom
# **E**: -46.300 eV/atom
# **V**: 17.2 Å³ per atom
data_Hf2AgAuF
_cell_length_a 4.2539
_cell_length_b 4.2539
_cell_length_c 4.7647
_cell_angle_alpha 90.00
_cell_angle_beta 90.00
_cell_angle_gamma 90.00
_symmetry_space_group_name_H-M 'P 1'
_symmetry_Int_Tables_number 1
_symmetry_space_group_name_Hall 'P 1'
loop_
_atom_site_label
_atom_site_fract_x
_atom_site_fract_y
_atom_site_fract_z
Hf1 0.0000 0.5000 0.0000
Hf2 0.5000 0.0000 0.0000
Ag1 0.0000 0.0000 0.5000
Au1 0.5000 0.5000 0.5000
F1 0.5000 0.5000 0.0000

=====

# SCAN MoP2ICl, PBEsol geometry
# **Formation energy (no corrections)**: 1.69 eV/atom
# **E**: -18.394 eV/atom
# **V**: 25.7 Å³ per atom
data_MoP2ICl
_cell_length_a 5.0775
_cell_length_b 5.0775
_cell_length_c 4.9882
_cell_angle_alpha 90.00
_cell_angle_beta 90.00
_cell_angle_gamma 90.00
_symmetry_space_group_name_H-M 'P 1'
_symmetry_Int_Tables_number 1
_symmetry_space_group_name_Hall 'P 1'
loop_
_atom_site_label
_atom_site_fract_x
_atom_site_fract_y
_atom_site_fract_z
Mo1 0.0000 0.0000 0.0000
P1 0.0000 0.5000 0.5000
P2 0.5000 0.0000 0.5000
I1 0.5000 0.5000 0.5000
Cl1 0.5000 0.5000 0.0000

=====

# SCAN SnH3Au, PBEsol geometry
# **Distance to the lowest polymorph of the same formula**: 252.8 meV/atom
# **E**: -22.341 eV/atom
# **V**: 11.9 Å³ per atom
data_SnH3Au
_cell_length_a 3.9016
_cell_length_b 3.9016
_cell_length_c 3.9016
_cell_angle_alpha 90.00
_cell_angle_beta 90.00
_cell_angle_gamma 90.00
_symmetry_space_group_name_H-M 'P 1'
_symmetry_Int_Tables_number 1
_symmetry_space_group_name_Hall 'P 1'
loop_
_atom_site_label
_atom_site_fract_x
_atom_site_fract_y
_atom_site_fract_z
Sn1 0.0000 0.0000 0.0000
H1 0.0000 0.0000 0.5000
H2 0.0000 0.5000 0.0000
H3 0.5000 0.0000 0.0000
Au1 0.5000 0.5000 0.5000